VASP calculation (PBE) on La2SiNi4Ge3 after structural relaxation.

Calculated values
- Space-group type: No. 115
- Magnetization: 0.0000 μB/atom
- DOS at the Fermi energy: 7.531 states/eV/cell
- Energy: -5.9438 eV/atom
- E_form (uncorrected): -718 meV/atom

Cell lengths 4.1887, 4.1887, 9.7453 Å; angles 90.00, 90.00, 90.00 degrees
Fractional positions:
La  0.5000  0.0000  0.2514
La  0.0000  0.5000  0.7486
Si  0.5000  0.5000  0.5000
Ni  0.5000  0.5000  0.0000
Ni  0.0000  0.0000  0.0000
Ni  0.5000  0.0000  0.6198
Ni  0.0000  0.5000  0.3802
Ge  0.0000  0.0000  0.5000
Ge  0.5000  0.0000  0.8734
Ge  0.0000  0.5000  0.1266